Entry 1:
The following is a PBE calculation of SnAs3P after structural relaxation, from the Alexandria database.

Computed properties:
- M_tot: 0.000 μB/f.u.
- Formation enthalpy at 0 K: 0.518 eV/atom
- Theoretical density: 5.5 g cm⁻³
- V: 112.1 Å³ per cell
- D(E_F): 4.0 states/eV/cell

Cell lengths 4.822, 4.822, 4.822 Å; angles 90.00, 90.00, 90.00 degrees
Element x y z (fractional)
Sn1 0.000 0.000 0.000
As1 0.000 0.500 0.500
As2 0.500 0.000 0.500
As3 0.500 0.500 0.000
P1 0.500 0.500 0.500



Entry 2:
The following is a PBE calculation of SnAsP2 after structural relaxation, from the Alexandria database.

Computed properties:
- M_tot: 0.000 μB/f.u.
- Formation enthalpy at 0 K: 0.518 eV/atom
- Theoretical density: 5.7 g cm⁻³
- V: 74.5 Å³ per cell
- D(E_F): 2.6 states/eV/cell

Cell lengths 4.724, 4.724, 4.724 Å; angles 60.00, 60.00, 60.00 degrees
Element x y z (fractional)
Sn1 0.000 0.000 0.000
As1 0.500 0.500 0.500
P1 0.250 0.250 0.250
P2 0.750 0.750 0.750



Which value of D(E_F) does entry 2 give?
2.6 states/eV/cell



Which formula does entry 2 have?
SnAsP2



The highest D(E_F) belongs to which entry?
SnAs3P